Tb3Y7Sc2 PBE optimized geometry; volume = 396.6 Å³/cell; energy of formation from the pure elements = 5.5 kcal/mol of atoms; SG = P2/m (10); magnetic moment = 0.079 μB per cell
1.0
-3.0200 1.7321 -0.8916
1.0833 -0.8356 -5.2923
-8.6649 -18.2888 1.1139
Sc Tb Y
2 3 7
Cartesian
-6.8215 -13.0481 -2.1592
-3.7800 -4.3442 -2.9109
-8.2486 -10.6917 -0.0004
-3.4363 -5.8650 0.2226
-0.9683 0.4482 -3.0920
-8.3560 -14.3236 0.5511
-5.2654 -10.3659 -2.2641
-0.8593 -2.8027 -2.5564
0.0000 0.0000 0.0000
-5.3362 -7.0264 -2.8059
-3.3289 -2.2332 -0.3288
-9.7423 -14.5896 -2.5137